(1)
Material: MgAlCu2
Method: DFT, GGA-PBE
State: relaxed

The space group is F-43m (No. 216) and the conventional cell measures 6.137, 6.137 and 6.137 Å, with angles of 90.00, 90.00 and 90.00 degrees. The inequivalent atoms are Mg at (0.000, 0.000, 0.000), Al at (0.250, 0.250, 0.750), Cu at (0.000, 0.000, 0.500) and Cu at (0.250, 0.250, 0.250).

As for the calculated total energy: -3.412 eV/atom. Its spin magnetization is 0.000 μB per cell. The calculation puts the energy of formation from the pure elements at -0.0292 eV/atom. Its density of states at the Fermi level is 0.2134 states/eV per atom.

(2)
Material: DyZr3Sb3
Method: DFT, GGA-PBE
State: relaxed

The space group is R-3 (No. 148, hexagonal axes) and the conventional cell measures 7.9073, 7.9073 and 22.9005 Å, with angles of 90.00, 90.00 and 120.00 degrees. The inequivalent atoms are Dy at (0.0000, 0.0000, 0.1619), Zr at (0.0104, 0.7479, 0.6243) and Sb at (0.0122, 0.6150, 0.4184).

The raw formation energy comes out at -0.462 eV per atom. As for the calculated total energy: -6.550 eV/atom. Its spin magnetization is 0.006 μB per cell. Its density of states at the Fermi level is 0.9540 states/eV per atom.

(3)
Material: CaY2Rh
Method: DFT, GGA-PBE
State: relaxed

The space group is Immm (No. 71) and the conventional cell measures 3.726, 5.643 and 10.564 Å, with angles of 90.00, 90.00 and 90.00 degrees. The inequivalent atoms are Ca at (0.000, 0.000, 0.000), Y at (0.000, 0.500, 0.191) and Rh at (0.000, 0.000, 0.500).

As for the calculated total energy: -5.937 eV/atom. Its spin magnetization is 0.000 μB per cell. The calculation puts the energy of formation from the pure elements at -0.3667 eV/atom. Its density of states at the Fermi level is 0.7529 states/eV per atom. For the energy above the most stable polymorph in this dataset, the calculation gives 19 meV/atom.

(4)
Material: CsNaPrBr5
Method: DFT, GGA-PBE
State: relaxed

The space group is C2/c (No. 15) and the conventional cell measures 9.854, 13.815 and 11.259 Å, with angles of 90.00, 112.15 and 90.00 degrees. The inequivalent atoms are Cs at (0.000, 0.163, 0.250), Na at (0.000, 0.189, 0.750), Pr at (0.000, 0.500, 0.000), Br at (0.000, 0.434, 0.250), Br at (0.097, 0.303, 0.586) and Br at (0.195, 0.055, 0.929).

The raw formation energy comes out at -1.782 eV per atom. As for the calculated total energy: -3.697 eV/atom. Its spin magnetization is 0.000 μB per cell. Its density of states at the Fermi level is 0.0000 states/eV per atom.

(5)
Material: La2PuCd
Method: DFT, GGA-PBE
State: relaxed

The space group is Fm-3m (No. 225) and the conventional cell measures 7.907, 7.907 and 7.907 Å, with angles of 90.00, 90.00 and 90.00 degrees. The inequivalent atoms are La at (0.250, 0.250, 0.250), Pu at (0.000, 0.000, 0.000) and Cd at (0.000, 0.000, 0.500).

As for the calculated total energy: -6.247 eV/atom. Its spin magnetization is 25.434 μB per cell. The calculation puts the energy of formation from the pure elements at 0.0289 eV/atom. Its density of states at the Fermi level is 4.3302 states/eV per atom. For the energy above the most stable polymorph in this dataset, the calculation gives 98 meV/atom.

(6)
Material: Ti3HN2
Method: DFT, GGA-PBE
State: relaxed

The space group is Immm (No. 71) and the conventional cell measures 2.997, 4.236 and 9.022 Å, with angles of 90.00, 90.00 and 90.00 degrees. The inequivalent atoms are Ti at (0.000, 0.000, 0.000), Ti at (0.000, 0.000, 0.321), H at (0.000, 0.500, 0.000) and N at (0.000, 0.500, 0.335).

As for the calculated total energy: -8.642 eV/atom. Its spin magnetization is 0.000 μB per cell. Its density of states at the Fermi level is 0.4991 states/eV per atom. For the energy above the most stable polymorph in this dataset, the calculation gives 0 meV/atom.

(7)
Material: Zr2Ir
Method: DFT, GGA-PBE
State: relaxed

The space group is P-3m1 (No. 164) and the conventional cell measures 3.2653, 3.2653 and 6.6575 Å, with angles of 90.00, 90.00 and 120.00 degrees. The inequivalent atoms are Zr at (0.3333, 0.6667, 0.1940) and Ir at (0.0000, 0.0000, 0.5000).

As for the calculated total energy: -8.890 eV/atom. Its spin magnetization is 0.000 μB per cell. The calculation puts the energy of formation from the pure elements at -0.2371 eV/atom. Its density of states at the Fermi level is 1.0827 states/eV per atom.

(8)
Material: Rb2Br3N2
Method: DFT, GGA-PBE
State: relaxed

The space group is P-1 (No. 2) and the conventional cell measures 5.336, 5.380 and 8.906 Å, with angles of 81.82, 81.48 and 65.43 degrees. The inequivalent atoms are Rb at (0.204, 0.209, 0.267), Br at (0.250, 0.749, 0.001), Br at (0.500, 0.500, 0.500) and N at (0.154, 0.153, 0.642).

The raw formation energy comes out at 0.483 eV per atom. As for the calculated total energy: -2.889 eV/atom. Its spin magnetization is 6.029 μB per cell. Its density of states at the Fermi level is 0.2963 states/eV per atom.

(9)
Material: Ca5Ni4
Method: DFT, GGA-PBE
State: relaxed

The space group is C2/m (No. 12) and the conventional cell measures 10.729, 4.235 and 9.803 Å, with angles of 90.00, 110.40 and 90.00 degrees. The inequivalent atoms are Ca at (0.000, 0.000, 0.000), Ca at (0.109, 0.000, 0.397), Ca at (0.237, 0.000, 0.821), Ni at (0.047, 0.500, 0.832) and Ni at (0.086, 0.500, 0.613).

As for the calculated total energy: -3.788 eV/atom. Its spin magnetization is 0.000 μB per cell. The calculation puts the energy of formation from the pure elements at -0.1063 eV/atom. Its density of states at the Fermi level is 0.5760 states/eV per atom.

(10)
Material: AcLa2HgRu
Method: DFT, GGA-PBE
State: relaxed

The space group is P4mm (No. 99) and the conventional cell measures 5.453, 5.453 and 5.838 Å, with angles of 90.00, 90.00 and 90.00 degrees. The inequivalent atoms are Ac at (0.000, 0.000, 0.000), La at (0.000, 0.500, 0.482), Hg at (0.500, 0.500, 0.079) and Ru at (0.000, 0.000, 0.516).

As for the calculated total energy: -4.964 eV/atom. Its spin magnetization is 0.000 μB per cell. The calculation puts the energy of formation from the pure elements at -0.2556 eV/atom. Its density of states at the Fermi level is 0.8737 states/eV per atom.

(11)
Material: InBiOsI2
Method: DFT, GGA-PBE
State: relaxed

The space group is P4/mmm (No. 123) and the conventional cell measures 5.689, 5.689 and 5.168 Å, with angles of 90.00, 90.00 and 90.00 degrees. The inequivalent atoms are In at (0.000, 0.000, 0.000), Bi at (0.500, 0.500, 0.000), Os at (0.500, 0.500, 0.500) and I at (0.000, 0.500, 0.500).

The raw formation energy comes out at 0.543 eV per atom. As for the calculated total energy: -3.647 eV/atom. Its spin magnetization is 0.000 μB per cell. Its density of states at the Fermi level is 1.0580 states/eV per atom.

(12)
Material: PmTlBrO
Method: DFT, GGA-PBE
State: relaxed

The space group is P4/nmm (No. 129, origin choice 2) and the conventional cell measures 4.120, 4.120 and 14.368 Å, with angles of 90.00, 90.00 and 90.00 degrees. The inequivalent atoms are Pm at (0.250, 0.250, 0.078), Tl at (0.250, 0.750, 0.500), Br at (0.250, 0.250, 0.808) and O at (0.250, 0.750, 0.000).

The raw formation energy comes out at -1.997 eV per atom. As for the calculated total energy: -5.434 eV/atom. Its spin magnetization is 0.000 μB per cell. Its density of states at the Fermi level is 0.3251 states/eV per atom.